[1]
A relaxed Na4Sr5Cd2 crystal, computed with PBE-GGA.

Summary:
Total magnetic moment, μB/cell: 0.00
E_form, eV per atom: -0.094
Total DFT energy (no corrections), eV per atom: -1.505

a b c (Å): 9.8050 21.5585 4.2726
angles (deg): 90.00 90.00 90.00
Closest atoms and distances in Å follow each position.
Atoms (fractional coordinates):
Na 0.0790 0.1521 0.0000  1 Cd 3.30
Na 0.2045 0.4327 0.0000  1 Cd 3.63, 8 Sr 3.82-4.04
Na 0.2955 0.9327 0.0000  1 Cd 3.63, 8 Sr 3.82-4.04
Na 0.4210 0.6521 0.0000  1 Cd 3.30
Na 0.5790 0.3479 0.0000  1 Cd 3.30
Na 0.7045 0.0673 0.0000  1 Cd 3.63, 8 Sr 3.82-4.04
Na 0.7955 0.5673 0.0000  1 Cd 3.63, 8 Sr 3.82-4.04
Na 0.9210 0.8479 0.0000  1 Cd 3.30
Sr 0.0000 0.0000 0.5000  8 Na 3.88-3.99, 4 Sr 4.21-4.27
Sr 0.1158 0.5867 0.5000  2 Cd 3.40
Sr 0.2392 0.7822 0.5000  4 Cd 3.50
Sr 0.2608 0.2822 0.5000  4 Cd 3.50
Sr 0.3842 0.0867 0.5000  2 Cd 3.40
Sr 0.5000 0.5000 0.5000  8 Na 3.88-3.99, 4 Sr 4.21-4.27
Sr 0.6158 0.9133 0.5000  2 Cd 3.40
Sr 0.7392 0.7178 0.5000  4 Cd 3.50
Sr 0.7608 0.2178 0.5000  4 Cd 3.50
Sr 0.8842 0.4133 0.5000  2 Cd 3.40
Cd 0.0195 0.7013 0.0000  2 Na 3.30-3.63, 6 Sr 3.40-3.50
Cd 0.4805 0.2013 0.0000  2 Na 3.30-3.63, 6 Sr 3.40-3.50
Cd 0.5195 0.7987 0.0000  2 Na 3.30-3.63, 6 Sr 3.40-3.50
Cd 0.9805 0.2987 0.0000  2 Na 3.30-3.63, 6 Sr 3.40-3.50

***

[2]
A relaxed La4PAu crystal, computed with PBE-GGA.

Summary:
Total magnetic moment, μB/cell: 0.00
E_form, eV per atom: 0.196
Total DFT energy (no corrections), eV per atom: -4.537

a b c (Å): 6.2634 6.2634 6.2634
angles (deg): 60.00 60.00 60.00
Closest atoms and distances in Å follow each position.
Atoms (fractional coordinates):
La 0.1232 0.1232 0.1232  6 La 3.09-3.18
La 0.1232 0.1232 0.6305  6 La 3.09-3.18
La 0.1232 0.6305 0.1232  6 La 3.09-3.18
La 0.6305 0.1232 0.1232  6 La 3.09-3.18
P 0.7500 0.7500 0.7500  12 La 3.67, 4 Au 3.84
Au 0.5000 0.5000 0.5000  12 La 3.68, 4 P 3.84

***

[3]
A relaxed ReBPC crystal, computed with PBE-GGA.

Summary:
Total magnetic moment, μB/cell: 0.00
E_form, eV per atom: 0.241
Distance to the lowest polymorph of the same formula, meV per atom: 129.5
Total DFT energy (no corrections), eV per atom: -8.199

a b c (Å): 2.8235 2.8235 23.7899
angles (deg): 90.00 90.00 120.00
Closest atoms and distances in Å follow each position.
Atoms (fractional coordinates):
Re 0.0000 0.0000 0.0000  3 P 2.39, 3 C 2.55, 3 B 2.57
Re 0.3333 0.6667 0.6667  3 P 2.39, 3 C 2.55, 3 B 2.57
Re 0.6667 0.3333 0.3333  3 P 2.39, 3 C 2.55, 3 B 2.57
B 0.0000 0.0000 0.4169  3 C 1.63
B 0.3333 0.6667 0.0835  3 C 1.63
B 0.6667 0.3333 0.7502  3 C 1.63
P 0.0000 0.0000 0.5930  3 Re 2.39
P 0.3333 0.6667 0.2597  3 Re 2.39
P 0.6667 0.3333 0.9264  3 Re 2.39
C 0.0000 0.0000 0.7489  3 B 1.63
C 0.3333 0.6667 0.4155  3 B 1.63
C 0.6667 0.3333 0.0822  3 B 1.63

***

[4]
A relaxed Mg2BeCd crystal, computed with PBE-GGA.

Summary:
Total magnetic moment, μB/cell: 0.00
E_form, eV per atom: 0.265
Distance to the lowest polymorph of the same formula, meV per atom: 116.0
Total DFT energy (no corrections), eV per atom: -1.692

a b c (Å): 6.5947 6.5947 6.5947
angles (deg): 90.00 90.00 90.00
Closest atoms and distances in Å follow each position.
Atoms (fractional coordinates):
Mg 0.0000 0.0000 0.0000  4 Be 2.86, 4 Mg 2.86
Mg 0.0000 0.5000 0.5000  4 Be 2.86, 4 Mg 2.86
Mg 0.2500 0.2500 0.2500  4 Cd 2.86, 4 Mg 2.86
Mg 0.2500 0.7500 0.7500  4 Cd 2.86, 4 Mg 2.86
Mg 0.5000 0.0000 0.5000  4 Be 2.86, 4 Mg 2.86
Mg 0.5000 0.5000 0.0000  4 Be 2.86, 4 Mg 2.86
Mg 0.7500 0.2500 0.7500  4 Cd 2.86, 4 Mg 2.86
Mg 0.7500 0.7500 0.2500  4 Cd 2.86, 4 Mg 2.86
Be 0.2500 0.2500 0.7500  4 Cd 2.86, 4 Mg 2.86
Be 0.2500 0.7500 0.2500  4 Cd 2.86, 4 Mg 2.86
Be 0.7500 0.2500 0.2500  4 Cd 2.86, 4 Mg 2.86
Be 0.7500 0.7500 0.7500  4 Cd 2.86, 4 Mg 2.86
Cd 0.0000 0.0000 0.5000  4 Be 2.86, 4 Mg 2.86
Cd 0.0000 0.5000 0.0000  4 Be 2.86, 4 Mg 2.86
Cd 0.5000 0.0000 0.0000  4 Be 2.86, 4 Mg 2.86
Cd 0.5000 0.5000 0.5000  4 Be 2.86, 4 Mg 2.86

***

[5]
A relaxed PrNd3Hg crystal, computed with PBE-GGA.

Summary:
Total magnetic moment, μB/cell: 0.00
E_form, eV per atom: -0.084
Distance to the lowest polymorph of the same formula, meV per atom: 85.4
Total DFT energy (no corrections), eV per atom: -3.961

a b c (Å): 7.0014 7.0014 8.1226
angles (deg): 106.98 106.98 66.59
Closest atoms and distances in Å follow each position.
Atoms (fractional coordinates):
Pr 0.0622 0.0622 0.2401  2 Hg 3.44-3.52, 8 Nd 3.60-3.84, 1 Pr 3.66
Pr 0.9378 0.9378 0.7599  2 Hg 3.44-3.52, 8 Nd 3.60-3.84, 1 Pr 3.66
Nd 0.0890 0.5887 0.3521  2 Hg 3.30, 4 Nd 3.59-3.69, 3 Pr 3.60-3.65
Nd 0.4113 0.9110 0.6479  2 Hg 3.30, 4 Nd 3.59-3.69, 3 Pr 3.60-3.65
Nd 0.4373 0.4373 0.7581  2 Hg 3.39-3.47, 7 Nd 3.59-3.68
Nd 0.5627 0.5627 0.2419  2 Hg 3.39-3.47, 7 Nd 3.59-3.68
Nd 0.5887 0.0890 0.3521  2 Hg 3.30, 4 Nd 3.59-3.69, 3 Pr 3.60-3.65
Nd 0.9110 0.4113 0.6479  2 Hg 3.30, 4 Nd 3.59-3.69, 3 Pr 3.60-3.65
Hg 0.2528 0.2528 0.9999  6 Nd 3.30-3.47, 2 Pr 3.44-3.52
Hg 0.7472 0.7472 0.0001  6 Nd 3.30-3.47, 2 Pr 3.44-3.52

***

[6]
A relaxed BeTe2OsAu crystal, computed with PBE-GGA.

Summary:
Total magnetic moment, μB/cell: 0.00
Raw formation energy, meV/atom: 1140
Total DFT energy (no corrections), eV per atom: -3.763

a b c (Å): 4.7899 4.7899 4.3568
angles (deg): 90.00 90.00 90.00
Closest atoms and distances in Å follow each position.
Atoms (fractional coordinates):
Be 0.0000 0.0000 0.0000  2 Au 2.18, 4 Te 2.39
Te 0.0000 0.5000 0.0000  2 Be 2.39
Te 0.5000 0.0000 0.0000  2 Be 2.39
Os 0.5000 0.5000 0.5000  8 Te 3.24, 4 Au 3.39
Au 0.0000 0.0000 0.5000  2 Be 2.18

***

[7]
A relaxed PmNdMgBi crystal, computed with PBE-GGA.

Summary:
Total magnetic moment, μB/cell: 0.00
E_form, eV per atom: -0.366
Total DFT energy (no corrections), eV per atom: -4.115

a b c (Å): 7.8295 7.8295 7.8295
angles (deg): 90.00 90.00 90.00
Closest atoms and distances in Å follow each position.
Atoms (fractional coordinates):
Pm 0.0000 0.0000 0.0000  4 Bi 3.39, 4 Mg 3.39
Pm 0.0000 0.5000 0.5000  4 Bi 3.39, 4 Mg 3.39
Pm 0.5000 0.0000 0.5000  4 Bi 3.39, 4 Mg 3.39
Pm 0.5000 0.5000 0.0000  4 Bi 3.39, 4 Mg 3.39
Nd 0.0000 0.0000 0.5000  4 Bi 3.39, 4 Mg 3.39
Nd 0.0000 0.5000 0.0000  4 Bi 3.39, 4 Mg 3.39
Nd 0.5000 0.0000 0.0000  4 Bi 3.39, 4 Mg 3.39
Nd 0.5000 0.5000 0.5000  4 Bi 3.39, 4 Mg 3.39
Mg 0.2500 0.2500 0.7500  4 Nd 3.39, 4 Pm 3.39
Mg 0.2500 0.7500 0.2500  4 Nd 3.39, 4 Pm 3.39
Mg 0.7500 0.2500 0.2500  4 Nd 3.39, 4 Pm 3.39
Mg 0.7500 0.7500 0.7500  4 Nd 3.39, 4 Pm 3.39
Bi 0.2500 0.2500 0.2500  4 Nd 3.39, 4 Pm 3.39
Bi 0.2500 0.7500 0.7500  4 Nd 3.39, 4 Pm 3.39
Bi 0.7500 0.2500 0.7500  4 Nd 3.39, 4 Pm 3.39
Bi 0.7500 0.7500 0.2500  4 Nd 3.39, 4 Pm 3.39

***

[8]
A relaxed Ac2Cu6Ge3 crystal, computed with PBE-GGA.

Summary:
Total magnetic moment, μB/cell: 0.00
E_form, eV per atom: -0.279
Total DFT energy (no corrections), eV per atom: -4.520

a b c (Å): 7.6216 7.6216 4.2109
angles (deg): 90.00 90.00 120.00
Closest atoms and distances in Å follow each position.
Atoms (fractional coordinates):
Ac 0.3333 0.6667 0.0000  9 Cu 3.24-3.43, 6 Ge 3.25
Ac 0.6667 0.3333 0.0000  9 Cu 3.24-3.43, 6 Ge 3.25
Cu 0.0000 0.2921 0.5000  3 Ge 2.49-2.71
Cu 0.0000 0.8126 0.0000  2 Ge 2.45, 2 Cu 2.47
Cu 0.1874 0.1874 0.0000  2 Ge 2.45, 2 Cu 2.47
Cu 0.2921 0.0000 0.5000  3 Ge 2.49-2.71
Cu 0.7079 0.7079 0.5000  3 Ge 2.49-2.71
Cu 0.8126 0.0000 0.0000  2 Ge 2.45, 2 Cu 2.47
Ge 0.0000 0.6481 0.5000  5 Cu 2.45-2.71
Ge 0.3519 0.3519 0.5000  5 Cu 2.45-2.71
Ge 0.6481 0.0000 0.5000  5 Cu 2.45-2.71

***

[9]
A relaxed InGa3Pt crystal, computed with PBE-GGA.

Summary:
Total magnetic moment, μB/cell: 0.00
E_form, eV per atom: -0.147
Distance to the lowest polymorph of the same formula, meV per atom: 166.8
Total DFT energy (no corrections), eV per atom: -3.719

a b c (Å): 4.8909 4.8909 4.8909
angles (deg): 90.00 90.00 90.00
Closest atoms and distances in Å follow each position.
Atoms (fractional coordinates):
In 0.0000 0.0000 0.0000  12 Ga 3.46
Ga 0.0000 0.5000 0.5000  2 Pt 2.45
Ga 0.5000 0.0000 0.5000  2 Pt 2.45
Ga 0.5000 0.5000 0.0000  2 Pt 2.45
Pt 0.5000 0.5000 0.5000  6 Ga 2.45

***

[10]
A relaxed HoMg2Ni2 crystal, computed with PBE-GGA.

Summary:
Total magnetic moment, μB/cell: 0.00
E_form, eV per atom: -0.180
Total DFT energy (no corrections), eV per atom: -4.046

a b c (Å): 4.8196 3.9711 10.2313
angles (deg): 90.00 101.58 90.00
Closest atoms and distances in Å follow each position.
Atoms (fractional coordinates):
Ho 0.0174 0.2500 0.2681  5 Ni 2.80-2.86
Ho 0.9826 0.7500 0.7319  5 Ni 2.80-2.86
Mg 0.2535 0.2500 0.9837  4 Ni 2.61-2.78
Mg 0.4253 0.2500 0.6056  5 Ni 2.54-2.69
Mg 0.5747 0.7500 0.3944  5 Ni 2.54-2.69
Mg 0.7465 0.7500 0.0163  4 Ni 2.61-2.78
Ni 0.1090 0.7500 0.4738  2 Ni 2.36, 2 Mg 2.54
Ni 0.3001 0.7500 0.1520  5 Mg 2.57-2.78, 2 Ho 2.80
Ni 0.6999 0.2500 0.8480  5 Mg 2.57-2.78, 2 Ho 2.80
Ni 0.8910 0.2500 0.5262  2 Ni 2.36, 2 Mg 2.54

***

[11]
A relaxed CdPd9Pb2 crystal, computed with PBE-GGA.

Summary:
Total magnetic moment, μB/cell: 0.00
E_form, eV per atom: -0.264
Total DFT energy (no corrections), eV per atom: -4.853

a b c (Å): 4.0813 4.0813 12.2463
angles (deg): 90.00 90.00 90.00
Closest atoms and distances in Å follow each position.
Atoms (fractional coordinates):
Cd 0.0000 0.0000 0.0000  12 Pd 2.86-2.89
Pd 0.0000 0.5000 0.1635  8 Pd 2.86-2.91, 2 Cd 2.86, 2 Pb 2.88
Pd 0.0000 0.5000 0.5000  8 Pd 2.89, 4 Pb 2.92
Pd 0.0000 0.5000 0.8365  8 Pd 2.86-2.91, 2 Cd 2.86, 2 Pb 2.88
Pd 0.5000 0.0000 0.1635  8 Pd 2.86-2.91, 2 Cd 2.86, 2 Pb 2.88
Pd 0.5000 0.0000 0.5000  8 Pd 2.89, 4 Pb 2.92
Pd 0.5000 0.0000 0.8365  8 Pd 2.86-2.91, 2 Cd 2.86, 2 Pb 2.88
Pd 0.5000 0.5000 0.0000  8 Pd 2.86, 4 Cd 2.89
Pd 0.5000 0.5000 0.3334  8 Pd 2.89-2.91, 4 Pb 2.89
Pd 0.5000 0.5000 0.6666  8 Pd 2.89-2.91, 4 Pb 2.89
Pb 0.0000 0.0000 0.3296  12 Pd 2.88-2.92
Pb 0.0000 0.0000 0.6704  12 Pd 2.88-2.92

***

[12]
A relaxed BaCu2Mo crystal, computed with PBE-GGA.

Summary:
Total magnetic moment, μB/cell: 9.78
E_form, eV per atom: 1.095
Distance to the lowest polymorph of the same formula, meV per atom: 641.4
Total DFT energy (no corrections), eV per atom: -4.142

a b c (Å): 6.8694 6.8694 6.8694
angles (deg): 90.00 90.00 90.00
Closest atoms and distances in Å follow each position.
Atoms (fractional coordinates):
Ba 0.0000 0.0000 0.0000  4 Mo 2.97, 4 Cu 2.97
Ba 0.0000 0.5000 0.5000  4 Mo 2.97, 4 Cu 2.97
Ba 0.5000 0.0000 0.5000  4 Mo 2.97, 4 Cu 2.97
Ba 0.5000 0.5000 0.0000  4 Mo 2.97, 4 Cu 2.97
Cu 0.0000 0.0000 0.5000  4 Mo 2.97, 4 Cu 2.97
Cu 0.0000 0.5000 0.0000  4 Mo 2.97, 4 Cu 2.97
Cu 0.2500 0.2500 0.2500  4 Ba 2.97, 4 Cu 2.97
Cu 0.2500 0.7500 0.7500  4 Ba 2.97, 4 Cu 2.97
Cu 0.5000 0.0000 0.0000  4 Mo 2.97, 4 Cu 2.97
Cu 0.5000 0.5000 0.5000  4 Mo 2.97, 4 Cu 2.97
Cu 0.7500 0.2500 0.7500  4 Ba 2.97, 4 Cu 2.97
Cu 0.7500 0.7500 0.2500  4 Ba 2.97, 4 Cu 2.97
Mo 0.2500 0.2500 0.7500  4 Ba 2.97, 4 Cu 2.97
Mo 0.2500 0.7500 0.2500  4 Ba 2.97, 4 Cu 2.97
Mo 0.7500 0.2500 0.2500  4 Ba 2.97, 4 Cu 2.97
Mo 0.7500 0.7500 0.7500  4 Ba 2.97, 4 Cu 2.97